1.
A geometry-optimized Si64Pd structure, computed with PBE.

a = 10.9533 Å, b = 10.9533 Å, c = 10.9533 Å
α = 90.00°, β = 90.00°, γ = 90.00°
Atoms (fractional coordinates):
Si (0.0000, 0.0000, 0.2499)
Si (0.0000, 0.0000, 0.7501)
Si (0.0000, 0.2499, 0.0000)
Si (0.0000, 0.2502, 0.5000)
Si (0.0000, 0.5000, 0.2502)
Si (0.0000, 0.5000, 0.7498)
Si (0.0000, 0.7501, 0.0000)
Si (0.0000, 0.7498, 0.5000)
Si (0.1241, 0.1241, 0.3755)
Si (0.1241, 0.3755, 0.1241)
Si (0.1241, 0.6245, 0.8759)
Si (0.1241, 0.8759, 0.6245)
Si (0.1250, 0.1250, 0.8750)
Si (0.1250, 0.3748, 0.6252)
Si (0.1250, 0.6252, 0.3748)
Si (0.1250, 0.8750, 0.1250)
Si (0.2463, 0.2463, 0.2463)
Si (0.2463, 0.7537, 0.7537)
Si (0.2485, 0.5000, 0.5000)
Si (0.2499, 0.0000, 0.0000)
Si (0.2502, 0.0000, 0.5000)
Si (0.2499, 0.2499, 0.7501)
Si (0.2502, 0.5000, 0.0000)
Si (0.2499, 0.7501, 0.2499)
Si (0.3695, 0.3695, 0.3695)
Si (0.3695, 0.6305, 0.6305)
Si (0.3748, 0.1250, 0.6252)
Si (0.3748, 0.3748, 0.8750)
Si (0.3748, 0.6252, 0.1250)
Si (0.3748, 0.8750, 0.3748)
Si (0.3755, 0.1241, 0.1241)
Si (0.3755, 0.8759, 0.8759)
Si (0.5000, 0.0000, 0.2502)
Si (0.5000, 0.0000, 0.7498)
Si (0.5000, 0.2485, 0.5000)
Si (0.5000, 0.2502, 0.0000)
Si (0.5000, 0.5000, 0.2485)
Si (0.5000, 0.5000, 0.7515)
Si (0.5000, 0.7498, 0.0000)
Si (0.5000, 0.7515, 0.5000)
Si (0.6245, 0.1241, 0.8759)
Si (0.6245, 0.8759, 0.1241)
Si (0.6252, 0.1250, 0.3748)
Si (0.6252, 0.3748, 0.1250)
Si (0.6252, 0.6252, 0.8750)
Si (0.6252, 0.8750, 0.6252)
Si (0.6305, 0.3695, 0.6305)
Si (0.6305, 0.6305, 0.3695)
Si (0.7501, 0.0000, 0.0000)
Si (0.7498, 0.0000, 0.5000)
Si (0.7501, 0.2499, 0.2499)
Si (0.7498, 0.5000, 0.0000)
Si (0.7501, 0.7501, 0.7501)
Si (0.7515, 0.5000, 0.5000)
Si (0.7537, 0.2463, 0.7537)
Si (0.7537, 0.7537, 0.2463)
Si (0.8750, 0.1250, 0.1250)
Si (0.8750, 0.3748, 0.3748)
Si (0.8750, 0.6252, 0.6252)
Si (0.8750, 0.8750, 0.8750)
Si (0.8759, 0.1241, 0.6245)
Si (0.8759, 0.3755, 0.8759)
Si (0.8759, 0.6245, 0.1241)
Si (0.8759, 0.8759, 0.3755)
Pd (0.5000, 0.5000, 0.5000)

***

2.
A geometry-optimized SiPd2 structure, computed with PBE.

a = 6.5291 Å, b = 6.5291 Å, c = 3.4740 Å
α = 90.00°, β = 90.00°, γ = 120.00°
Atoms (fractional coordinates):
Si (0.0000, 0.0000, 0.0000)
Si (0.3333, 0.6667, 0.5000)
Si (0.6667, 0.3333, 0.5000)
Pd (0.0000, 0.2656, 0.5000)
Pd (0.0000, 0.6055, 0.0000)
Pd (0.2656, 0.0000, 0.5000)
Pd (0.3945, 0.3945, 0.0000)
Pd (0.6055, 0.0000, 0.0000)
Pd (0.7344, 0.7344, 0.5000)

***

3.
A geometry-optimized SiPd4 structure, computed with PBE.

a = 5.5804 Å, b = 5.5804 Å, c = 4.9139 Å
α = 90.00°, β = 90.00°, γ = 90.00°
Atoms (fractional coordinates):
Si (0.2500, 0.2500, 0.0000)
Si (0.7500, 0.7500, 0.0000)
Pd (0.0789, 0.5789, 0.2586)
Pd (0.0789, 0.9211, 0.7414)
Pd (0.4211, 0.5789, 0.7414)
Pd (0.4211, 0.9211, 0.2586)
Pd (0.5789, 0.0789, 0.7414)
Pd (0.5789, 0.4211, 0.2586)
Pd (0.9211, 0.0789, 0.2586)
Pd (0.9211, 0.4211, 0.7414)

***

4.
A geometry-optimized SiPd structure, computed with PBE.

a = 3.8314 Å, b = 3.8314 Å, c = 3.8314 Å
α = 60.00°, β = 60.00°, γ = 60.00°
Atoms (fractional coordinates):
Si (0.0000, 0.0000, 0.0000)
Pd (0.2500, 0.2500, 0.2500)

***

5.
A geometry-optimized Si2Pd structure, computed with PBE.

a = 5.0029 Å, b = 5.0029 Å, c = 5.0029 Å
α = 60.00°, β = 60.00°, γ = 60.00°
Atoms (fractional coordinates):
Si (0.0000, 0.0000, 0.0000)
Si (0.0000, 0.0000, 0.5000)
Si (0.0000, 0.5000, 0.0000)
Si (0.5000, 0.0000, 0.0000)
Pd (0.3750, 0.3750, 0.3750)
Pd (0.6250, 0.6250, 0.6250)

***

6.
A geometry-optimized Si2Pd structure, computed with PBE.

a = 7.2514 Å, b = 3.4639 Å, c = 7.4806 Å
α = 90.00°, β = 90.00°, γ = 90.00°
Atoms (fractional coordinates):
Si (0.0008, 0.2500, 0.1535)
Si (0.0879, 0.7500, 0.3760)
Si (0.4121, 0.2500, 0.8760)
Si (0.4992, 0.7500, 0.6535)
Si (0.5008, 0.2500, 0.3465)
Si (0.5879, 0.7500, 0.1240)
Si (0.9121, 0.2500, 0.6240)
Si (0.9992, 0.7500, 0.8465)
Pd (0.2474, 0.7500, 0.0645)
Pd (0.2526, 0.2500, 0.5645)
Pd (0.7474, 0.7500, 0.4355)
Pd (0.7526, 0.2500, 0.9355)

***

7.
A geometry-optimized Si2Pd structure, computed with PBE.

a = 7.2909 Å, b = 7.2909 Å, c = 7.2909 Å
α = 60.00°, β = 60.00°, γ = 60.00°
Atoms (fractional coordinates):
Si (0.0000, 0.0000, 0.0000)
Si (0.0000, 0.0000, 0.5000)
Si (0.0000, 0.5000, 0.0000)
Si (0.5000, 0.0000, 0.0000)
Pd (0.1250, 0.1250, 0.1250)
Pd (0.8750, 0.8750, 0.8750)

***

8.
A geometry-optimized SiPd structure, computed with PBE.

a = 2.9539 Å, b = 2.9539 Å, c = 3.8440 Å
α = 90.00°, β = 90.00°, γ = 120.00°
Atoms (fractional coordinates):
Si (0.0000, 0.0000, 0.0000)
Pd (0.3333, 0.6667, 0.5000)

***

9.
A geometry-optimized SiPd2 structure, computed with PBE.

a = 5.1654 Å, b = 5.1654 Å, c = 5.1654 Å
α = 60.00°, β = 60.00°, γ = 60.00°
Atoms (fractional coordinates):
Si (0.1250, 0.1250, 0.1250)
Si (0.8750, 0.8750, 0.8750)
Pd (0.0000, 0.5000, 0.5000)
Pd (0.5000, 0.0000, 0.5000)
Pd (0.5000, 0.5000, 0.0000)
Pd (0.5000, 0.5000, 0.5000)

***

10.
A geometry-optimized SmSiPd2 structure, computed with PBE.

a = 7.4656 Å, b = 6.9757 Å, c = 5.6160 Å
α = 90.00°, β = 90.00°, γ = 90.00°
Atoms (fractional coordinates):
Sm (0.0290, 0.2500, 0.1419)
Sm (0.4710, 0.7500, 0.6419)
Sm (0.5290, 0.2500, 0.3581)
Sm (0.9710, 0.7500, 0.8581)
Si (0.1237, 0.7500, 0.3561)
Si (0.3763, 0.2500, 0.8561)
Si (0.6237, 0.7500, 0.1439)
Si (0.8763, 0.2500, 0.6439)
Pd (0.1755, 0.0524, 0.5938)
Pd (0.1755, 0.4476, 0.5938)
Pd (0.3245, 0.5524, 0.0938)
Pd (0.3245, 0.9476, 0.0938)
Pd (0.6755, 0.0524, 0.9062)
Pd (0.6755, 0.4476, 0.9062)
Pd (0.8245, 0.5524, 0.4062)
Pd (0.8245, 0.9476, 0.4062)

***

11.
A geometry-optimized Sm4Si3Pd4 structure, computed with PBE.

a = 10.9887 Å, b = 10.9887 Å, c = 7.9327 Å
α = 108.27°, β = 108.27°, γ = 29.48°
Atoms (fractional coordinates):
Sm (0.0651, 0.7998, 0.8326)
Sm (0.2002, 0.9349, 0.6674)
Sm (0.2058, 0.4551, 0.1048)
Sm (0.4551, 0.2058, 0.6048)
Sm (0.5449, 0.7942, 0.3952)
Sm (0.7942, 0.5449, 0.8952)
Sm (0.7998, 0.0651, 0.3326)
Sm (0.9349, 0.2002, 0.1674)
Si (0.0476, 0.2937, 0.5467)
Si (0.2937, 0.0476, 0.0467)
Si (0.3390, 0.6610, 0.2500)
Si (0.6610, 0.3390, 0.7500)
Si (0.7063, 0.9524, 0.9533)
Si (0.9524, 0.7063, 0.4533)
Pd (0.0834, 0.3654, 0.3006)
Pd (0.3067, 0.5621, 0.4850)
Pd (0.3654, 0.0834, 0.8006)
Pd (0.4379, 0.6933, 0.0150)
Pd (0.5621, 0.3067, 0.9850)
Pd (0.6346, 0.9166, 0.1994)
Pd (0.6933, 0.4379, 0.5150)
Pd (0.9166, 0.6346, 0.6994)

***

12.
A geometry-optimized SmSiPd structure, computed with PBE.

a = 7.1890 Å, b = 4.3714 Å, c = 7.5294 Å
α = 90.00°, β = 90.00°, γ = 90.00°
Atoms (fractional coordinates):
Sm (0.0029, 0.2500, 0.2007)
Sm (0.4971, 0.7500, 0.7007)
Sm (0.5029, 0.2500, 0.2993)
Sm (0.9971, 0.7500, 0.7993)
Si (0.1942, 0.2500, 0.5892)
Si (0.3058, 0.7500, 0.0892)
Si (0.6942, 0.2500, 0.9108)
Si (0.8058, 0.7500, 0.4108)
Pd (0.1903, 0.7500, 0.4176)
Pd (0.3097, 0.2500, 0.9176)
Pd (0.6903, 0.7500, 0.0824)
Pd (0.8097, 0.2500, 0.5824)

***

Number 1: uncorrected energy -5.412 eV per atom. Number 2: uncorrected energy -5.950 eV per atom. Number 3: uncorrected energy -5.681 eV per atom. Number 4: uncorrected energy -5.346 eV per atom. Number 5: uncorrected energy -5.120 eV per atom. Number 6: uncorrected energy -5.445 eV per atom. Number 7: uncorrected energy -4.622 eV per atom. Number 8: uncorrected energy -5.619 eV per atom. Number 9: uncorrected energy -5.015 eV per atom. Number 10: uncorrected energy -6.069 eV per atom. Number 11: uncorrected energy -5.972 eV per atom. Number 12: uncorrected energy -6.037 eV per atom.